Computed, not measured: a geometry-optimized Ac3TlGa structure at the GGA-PBE level of DFT.

Calculated values
ΔE_f ... -0.3172 eV per atom
Polymorph energy (0 for the lowest one) ... 0 meV per atom
VASP energy ... -3.861 eV per atom

a b c (Å): 7.341 10.927 10.862
angles (deg): 124.01 90.00 90.00
Element x y z (fractional)
1 Tl 0.788 0.000 0.000
2 Tl 0.712 0.500 0.000
3 Tl 0.288 0.500 0.000
4 Tl 0.212 0.000 0.000
5 Ac 0.500 0.138 0.836
6 Ac 0.500 0.862 0.164
7 Ac 0.000 0.168 0.360
8 Ac 0.500 0.723 0.743
9 Ac 0.500 0.668 0.360
10 Ac 0.000 0.638 0.836
11 Ac 0.000 0.362 0.164
12 Ac 0.500 0.277 0.257
13 Ac 0.000 0.223 0.743
14 Ac 0.000 0.832 0.640
15 Ac 0.500 0.332 0.640
16 Ac 0.000 0.777 0.257
17 Ga 0.304 0.000 0.500
18 Ga 0.804 0.500 0.500
19 Ga 0.696 0.000 0.500
20 Ga 0.196 0.500 0.500